First-principles (GGA-PBE) data for a geometry-optimized LiTi5Pd6 structure, as listed in Alexandria via LeMat-Bulk.

Calculated values
Calculated formation energy = -513 meV/atom

The structure in CIF format:
```
data_LiTi5Pd6
_chemical_formula_sum 'Li2 Ti10 Pd12'
_space_group_name_H-M_alt 'I m m m'
_space_group_IT_number 71
_space_group_name_Hall '-I 2 2'
_cell_length_a 4.152
_cell_length_b 7.249
_cell_length_c 12.160
_cell_angle_alpha 90.00
_cell_angle_beta 90.00
_cell_angle_gamma 90.00
loop_
_atom_site_label
_atom_site_type_symbol
_atom_site_fract_x
_atom_site_fract_y
_atom_site_fract_z
_atom_site_occupancy
Li1 Li 0.000 0.000 0.000 1
Ti1 Ti 0.000 0.000 0.352 1
Ti2 Ti 0.000 0.500 0.000 1
Ti3 Ti 0.000 0.500 0.319 1
Pd1 Pd 0.000 0.234 0.167 1
Pd2 Pd 0.000 0.280 0.500 1
```



First-principles (GGA-PBE) data for a geometry-optimized LiLa6Al structure, as listed in Alexandria via LeMat-Bulk.

Calculated values
Calculated formation energy = -77 meV/atom

The structure in CIF format:
```
data_LiLa6Al
_chemical_formula_sum 'Li2 La12 Al2'
_space_group_name_H-M_alt 'I 4/m m m'
_space_group_IT_number 139
_space_group_name_Hall '-I 4 2'
_cell_length_a 5.351
_cell_length_b 5.351
_cell_length_c 18.074
_cell_angle_alpha 90.00
_cell_angle_beta 90.00
_cell_angle_gamma 90.00
loop_
_atom_site_label
_atom_site_type_symbol
_atom_site_fract_x
_atom_site_fract_y
_atom_site_fract_z
_atom_site_occupancy
Li1 Li 0.000 0.000 0.000 1
La1 La 0.000 0.000 0.252 1
La2 La 0.000 0.500 0.107 1
Al1 Al 0.000 0.000 0.500 1
```



First-principles (GGA-PBE) data for a geometry-optimized BaAlCr2Ga structure, as listed in Alexandria via LeMat-Bulk.

Calculated values
Calculated formation energy = 1937 meV/atom

The structure in CIF format:
```
data_BaAlCr2Ga
_chemical_formula_sum 'Ba1 Al1 Cr2 Ga1'
_space_group_name_H-M_alt 'P 4/m m m'
_space_group_IT_number 123
_space_group_name_Hall '-P 4 2'
_cell_length_a 5.852
_cell_length_b 5.852
_cell_length_c 5.849
_cell_angle_alpha 90.00
_cell_angle_beta 90.00
_cell_angle_gamma 90.00
loop_
_atom_site_label
_atom_site_type_symbol
_atom_site_fract_x
_atom_site_fract_y
_atom_site_fract_z
_atom_site_occupancy
Ba1 Ba 0.000 0.000 0.000 1
Al1 Al 0.500 0.500 0.500 1
Cr1 Cr 0.000 0.500 0.000 1
Ga1 Ga 0.000 0.000 0.500 1
```



First-principles (GGA-PBE) data for a geometry-optimized K3CuAg structure, as listed in Alexandria via LeMat-Bulk.

Calculated values
Calculated formation energy = 340 meV/atom
Excess energy over the best structure of this formula in the dataset = 0.0 meV/atom

The structure in CIF format:
```
data_K3CuAg
_chemical_formula_sum 'K3 Cu1 Ag1'
_space_group_name_H-M_alt 'P m -3 m'
_space_group_IT_number 221
_space_group_name_Hall '-P 4 2 3'
_cell_length_a 6.219
_cell_length_b 6.219
_cell_length_c 6.219
_cell_angle_alpha 90.00
_cell_angle_beta 90.00
_cell_angle_gamma 90.00
loop_
_atom_site_label
_atom_site_type_symbol
_atom_site_fract_x
_atom_site_fract_y
_atom_site_fract_z
_atom_site_occupancy
K1 K 0.000 0.000 0.500 1
Cu1 Cu 0.000 0.000 0.000 1
Ag1 Ag 0.500 0.500 0.500 1
```